A geometry-optimized Sr2Ag3Sn structure, computed with PBE.

The structure in extended XYZ format:
```
6
Lattice="5.6570 -2.4730 0.0000 5.6570 2.4730 0.0000 -5.3833 0.0000 5.8305" Properties=species:S:1:pos:R:3 pbc="T T T"
Sr 0.0000 0.0000 0.0000
Sr -2.1248 0.0000 3.4979
Ag 3.3436 0.0000 1.0698
Ag 1.2407 0.0000 3.3587
Ag 7.8841 0.0000 0.1350
Sn 5.9159 0.0000 2.3902
```

Properties
**DFT formation energy**: -2.298 eV per formula unit
**E_tot**: -18.2 eV for the cell shown
**Total moment**: 0.000 μB/f.u.
**Calculated volume**: 163.1 Å³/cell
**Space group**: Cm (8)


A geometry-optimized Sr2Ag5Sn3 structure, computed with PBE.

The structure in extended XYZ format:
```
20
Lattice="-5.8749 6.4976 3.3467 5.8749 -6.4976 3.3467 5.8749 6.4976 -3.3467" Properties=species:S:1:pos:R:3 pbc="T T T"
Sr 2.7997 1.6187 0.0000
Sr 2.7997 -1.6187 3.3467
Sr 3.0752 8.1163 0.0000
Sr 3.0752 4.8789 3.3467
Ag 5.8749 -3.0417 1.6733
Ag 7.5970 1.5064 0.0000
Ag 0.0000 0.0000 1.6733
Ag 1.7221 4.9912 0.0000
Ag 5.8749 3.0417 1.6733
Ag 0.0000 3.4560 1.6733
Ag 4.1528 1.5064 3.3467
Ag 0.0000 0.0000 5.0200
Ag -1.7221 4.9912 3.3467
Ag 0.0000 9.5393 1.6733
Sn 4.4222 -4.7468 3.3467
Sn 5.8749 0.0000 1.6733
Sn 4.4222 4.7468 0.0000
Sn 1.4527 1.7508 3.3467
Sn 0.0000 6.4976 1.6733
Sn 1.4527 11.2444 0.0000
```

Properties
**DFT formation energy**: -3.035 eV per formula unit
**E_tot**: -65.3 eV for the cell shown
**Total moment**: 0.000 μB/f.u.
**Calculated volume**: 511.0 Å³/cell
**Space group**: Ibam (72)


A geometry-optimized SrAg4Sn2 structure, computed with PBE.

The structure in extended XYZ format:
```
14
Lattice="8.4977 0.0000 0.0000 0.0000 8.4977 0.0000 0.0000 0.0000 4.5379" Properties=species:S:1:pos:R:3 pbc="T T T"
Sr 0.0000 0.0000 0.0000
Sr 4.2488 4.2488 2.2689
Ag 0.7715 2.9741 2.2689
Ag 1.2748 5.0204 0.0000
Ag 2.9741 0.7715 2.2689
Ag 3.4773 7.2229 0.0000
Ag 5.0204 1.2748 0.0000
Ag 5.5236 7.7262 2.2689
Ag 7.2229 3.4773 0.0000
Ag 7.7262 5.5236 2.2689
Sn 1.8423 6.6554 2.2689
Sn 2.4066 2.4066 0.0000
Sn 6.0911 6.0911 0.0000
Sn 6.6554 1.8423 2.2689
```

Properties
**DFT formation energy**: -1.377 eV per formula unit
**E_tot**: -44.9 eV for the cell shown
**Total moment**: 0.000 μB/f.u.
**Calculated volume**: 327.7 Å³/cell
**Space group**: P4_2/mnm (136)


A geometry-optimized SrAg2Sn structure, computed with PBE.

The structure in extended XYZ format:
```
4
Lattice="4.8455 0.0000 0.0000 0.0000 4.8455 0.0000 0.0000 0.0000 4.3106" Properties=species:S:1:pos:R:3 pbc="T T T"
Sr 0.0000 0.0000 0.0000
Ag 0.0000 2.4228 2.1553
Ag 2.4228 0.0000 2.1553
Sn 2.4228 2.4228 0.0000
```

Properties
**DFT formation energy**: -0.684 eV per formula unit
**E_tot**: -12.1 eV for the cell shown
**Total moment**: 0.000 μB/f.u.
**Calculated volume**: 101.2 Å³/cell
**Space group**: P4/mmm (123)


A geometry-optimized SrAg10Sn2 structure, computed with PBE.

The structure in extended XYZ format:
```
13
Lattice="0.0000 6.7037 7.0313 2.9213 0.0000 7.0313 2.9213 6.7037 0.0000" Properties=species:S:1:pos:R:3 pbc="T T T"
Sr 0.0000 0.0000 0.0000
Ag 1.4606 3.3518 0.0000
Ag 2.9213 2.4361 4.6288
Ag 2.9213 5.2314 5.5480
Ag 2.9213 2.4361 9.4338
Ag 2.9213 5.2314 8.5146
Ag 1.4606 3.3518 7.0313
Ag 2.9213 8.1759 5.5480
Ag 2.9213 10.9712 4.6288
Ag 2.9213 8.1759 8.5146
Ag 2.9213 10.9712 9.4338
Sn 1.4606 0.0000 3.5157
Sn 1.4606 6.7037 3.5157
```

Properties
**DFT formation energy**: -0.527 eV per formula unit
**E_tot**: -38.7 eV for the cell shown
**Total moment**: 0.000 μB/f.u.
**Calculated volume**: 275.4 Å³/cell
**Space group**: Fmmm (69)


A geometry-optimized SrAg8Sn3 structure, computed with PBE.

The structure in extended XYZ format:
```
12
Lattice="5.7441 0.0000 0.0000 -2.8720 4.9745 0.0000 0.0000 0.0000 9.1514" Properties=species:S:1:pos:R:3 pbc="T T T"
Sr 0.0000 0.0000 0.0000
Ag 0.0000 1.6354 6.1841
Ag -1.4557 4.1568 6.1841
Ag 0.0000 3.3163 3.9257
Ag 0.0000 3.3163 8.4947
Ag 2.8720 0.0270 1.6726
Ag 1.4594 2.4737 1.6726
Ag 1.4557 4.1568 6.1841
Ag 4.2846 2.4737 1.6726
Sn 0.0000 0.0000 3.5664
Sn 2.8720 1.6582 4.3335
Sn 2.8720 1.6582 7.7722
```

Properties
**DFT formation energy**: -0.932 eV per formula unit
**E_tot**: -37.4 eV for the cell shown
**Total moment**: 0.000 μB/f.u.
**Calculated volume**: 261.5 Å³/cell
**Space group**: P3m1 (156)


A geometry-optimized SrAg3Sn2 structure, computed with PBE.

The structure in extended XYZ format:
```
12
Lattice="8.7621 -2.3958 0.0000 8.7621 2.3958 0.0000 -1.9222 0.0000 6.8321" Properties=species:S:1:pos:R:3 pbc="T T T"
Sr 1.7503 0.0000 1.1311
Sr 13.8517 0.0000 5.7010
Ag -0.0507 0.0000 4.5524
Ag 5.1800 0.0000 0.5504
Ag 5.4920 0.0000 3.3634
Ag 10.1100 0.0000 3.4687
Ag 10.4220 0.0000 6.2817
Ag 15.6527 0.0000 2.2796
Sn 2.7874 0.0000 4.6026
Sn 8.0626 0.0000 1.4138
Sn 7.5394 0.0000 5.4183
Sn 12.8146 0.0000 2.2294
```

Properties
**DFT formation energy**: -1.634 eV per formula unit
**E_tot**: -39.8 eV for the cell shown
**Total moment**: 0.000 μB/f.u.
**Calculated volume**: 286.8 Å³/cell
**Space group**: C2/m (12)


A geometry-optimized SrAg2Sn2 structure, computed with PBE.

The structure in extended XYZ format:
```
10
Lattice="8.4898 0.0000 0.0000 0.0000 8.4898 0.0000 0.0000 0.0000 3.4868" Properties=species:S:1:pos:R:3 pbc="T T T"
Sr 0.0000 0.0000 0.0000
Sr 4.2449 4.2449 0.0000
Ag 1.0189 3.2260 0.0000
Ag 3.2260 7.4709 0.0000
Ag 5.2638 1.0189 0.0000
Ag 7.4709 5.2638 0.0000
Sn 1.4772 5.7221 1.7434
Sn 2.7677 1.4772 1.7434
Sn 5.7221 7.0126 1.7434
Sn 7.0126 2.7677 1.7434
```

Properties
**DFT formation energy**: -0.898 eV per formula unit
**E_tot**: -32.6 eV for the cell shown
**Total moment**: 0.000 μB/f.u.
**Calculated volume**: 251.3 Å³/cell
**Space group**: P4/mbm (127)


A geometry-optimized Sr2AgSn8 structure, computed with PBE.

The structure in extended XYZ format:
```
11
Lattice="4.8749 0.0000 0.0000 0.0000 4.8749 0.0000 0.0000 0.0000 13.1582" Properties=species:S:1:pos:R:3 pbc="T T T"
Sr 0.0000 0.0000 2.4216
Sr 0.0000 0.0000 10.7367
Ag 0.0000 0.0000 6.5791
Sn 0.0000 2.4374 0.0000
Sn 0.0000 2.4374 4.9107
Sn 0.0000 2.4374 8.2475
Sn 2.4374 0.0000 0.0000
Sn 2.4374 0.0000 4.9107
Sn 2.4374 0.0000 8.2475
Sn 2.4374 2.4374 2.4700
Sn 2.4374 2.4374 10.6883
```

Properties
**DFT formation energy**: -2.796 eV per formula unit
**E_tot**: -41.0 eV for the cell shown
**Total moment**: 0.000 μB/f.u.
**Calculated volume**: 312.7 Å³/cell
**Space group**: P4/mmm (123)


A geometry-optimized Sr2Ag3Sn6 structure, computed with PBE.

The structure in extended XYZ format:
```
11
Lattice="8.5420 0.0000 0.0000 -4.2710 7.3976 0.0000 0.0000 0.0000 4.8766" Properties=species:S:1:pos:R:3 pbc="T T T"
Sr 0.0000 4.9318 0.0000
Sr 4.2710 2.4659 0.0000
Ag -2.7162 4.7046 2.4383
Ag 1.5548 2.6930 2.4383
Ag 5.4325 0.0000 2.4383
Sn -1.3463 2.3319 2.4383
Sn -3.3967 5.8832 0.0000
Sn 0.8744 1.5144 0.0000
Sn 2.6927 0.0000 2.4383
Sn 2.9247 5.0657 2.4383
Sn 6.7933 0.0000 0.0000
```

Properties
**DFT formation energy**: -2.783 eV per formula unit
**E_tot**: -38.7 eV for the cell shown
**Total moment**: 0.000 μB/f.u.
**Calculated volume**: 308.2 Å³/cell
**Space group**: P-62m (189)


A geometry-optimized SrTbAgSn structure, computed with PBE.

The structure in extended XYZ format:
```
4
Lattice="0.0000 3.8426 3.8426 3.8426 0.0000 3.8426 3.8426 3.8426 0.0000" Properties=species:S:1:pos:R:3 pbc="T T T"
Sr 0.0000 0.0000 0.0000
Tb 3.8426 3.8426 3.8426
Ag 1.9213 1.9213 1.9213
Sn 5.7640 5.7640 5.7640
```

Properties
**DFT formation energy**: -1.882 eV per formula unit
**E_tot**: -15.0 eV for the cell shown
**Total moment**: 0.000 μB/f.u.
**Calculated volume**: 113.5 Å³/cell
**Space group**: F-43m (216)


A geometry-optimized SrAgSnTe3 structure, computed with PBE.

The structure in extended XYZ format:
```
12
Lattice="9.1797 0.0000 0.0000 0.0000 4.4585 0.0000 -2.0993 0.0000 9.4830" Properties=species:S:1:pos:R:3 pbc="T T T"
Sr 1.0744 1.1146 2.3293
Sr 6.0060 3.3439 7.1537
Ag -0.5627 1.1146 5.5054
Ag 7.6431 3.3439 3.9775
Sn 1.3209 3.3439 8.1478
Sn 5.7595 1.1146 1.3352
Te -0.8487 1.1146 8.3743
Te 1.1938 3.3439 4.9928
Te 3.5758 3.3439 1.7009
Te 3.5046 1.1146 7.7821
Te 5.8866 1.1146 4.4901
Te 7.9290 3.3439 1.1087
```

Properties
**E_tot**: -43.5 eV for the cell shown
**Formation energy without anion corrections**: -0.63 eV/atom
**Total moment**: 0.000 μB/f.u.
**Calculated volume**: 388.1 Å³/cell
**Space group**: P2_1/m (11)


- Which value of calculated volume does entry 9 give?
  312.7 Å³/cell


- The lowest E_tot belongs to which entry?
  Sr2Ag5Sn3